Entry from Alexandria: a relaxed structure of ZrAlCuS4 (PBE).

Calculated values
The total magnetization comes out at 0.000 μB/atom. The total energy is -5.7686 eV/atom. The uncorrected formation energy comes out at -7.48 eV per formula unit.

a = 7.1947 Å, b = 7.2639 Å, c = 10.3614 Å
α = 90.00°, β = 90.00°, γ = 90.00°
Last column: nearest neighbours and their distance in Å.
Space group Imma (No. 74)
Inequivalent atoms, fractional coordinates:
1 Zr 0.0000 0.0000 0.0000 [4 per cell]  6 S 2.56-2.59
2 Al 0.2500 0.2500 0.2500 [4 per cell]  6 S 2.44-2.52
3 Cu 0.0000 0.2500 0.6328 [4 per cell]  4 S 2.31-2.33
4 S 0.0000 0.0232 0.2496 [8 per cell]  1 Cu 2.33, 2 Al 2.44, 1 Zr 2.59
5 S 0.2494 0.2500 0.4927 [8 per cell]  1 Cu 2.31, 1 Al 2.52, 2 Zr 2.56